Entry 1:
ScHg3Ge: PBEsol geometry, meta-GGA SCAN.

Unit cell a=5.0657 b=5.0657 c=5.0657 alpha=90.00 beta=90.00 gamma=90.00
Fractional coordinates of all 5 atoms:
Sc: 0.0000 0.0000 0.0000
Hg: 0.0000 0.5000 0.5000
Hg: 0.5000 0.0000 0.5000
Hg: 0.5000 0.5000 0.0000
Ge: 0.5000 0.5000 0.5000

Properties
**E_form**: 0.362 eV/atom
**Space group**: Pm-3m, No. 221

---

Entry 2:
SnHgGe3: PBEsol geometry, meta-GGA SCAN.

Unit cell a=5.1139 b=5.1139 c=5.1139 alpha=90.00 beta=90.00 gamma=90.00
Fractional coordinates of all 5 atoms:
Sn: 0.0000 0.0000 0.0000
Hg: 0.5000 0.5000 0.5000
Ge: 0.0000 0.5000 0.5000
Ge: 0.5000 0.0000 0.5000
Ge: 0.5000 0.5000 0.0000

Properties
**E_form**: 0.880 eV/atom
**Space group**: Pm-3m, No. 221

---

Entry 3:
Zr2SnHgGe: PBEsol geometry, meta-GGA SCAN.

Unit cell a=5.3268 b=5.3268 c=5.0374 alpha=90.00 beta=90.00 gamma=90.00
Fractional coordinates of all 5 atoms:
Zr: 0.0000 0.5000 0.0000
Zr: 0.5000 0.0000 0.0000
Sn: 0.0000 0.0000 0.0000
Hg: 0.0000 0.0000 0.5000
Ge: 0.5000 0.5000 0.5000

Properties
**E_form**: 0.917 eV/atom
**Space group**: P4/mmm, No. 123

---

Entry 4:
HgGeTe2: PBEsol geometry, meta-GGA SCAN.

Unit cell a=5.1699 b=5.1699 c=5.1699 alpha=60.00 beta=60.00 gamma=60.00
Fractional coordinates of all 4 atoms:
Hg: 0.0000 0.0000 0.0000
Ge: 0.5000 0.5000 0.5000
Te: 0.2500 0.2500 0.2500
Te: 0.7500 0.7500 0.7500

Properties
**Total energy**: -40.154 eV per atom
**Space group**: Fm-3m, No. 225

---

Entry 5:
HgGeTe2: PBEsol geometry, meta-GGA SCAN.

Unit cell a=8.8050 b=8.8050 c=8.8050 alpha=28.21 beta=28.21 gamma=28.21
Fractional coordinates of all 4 atoms:
Hg: 0.0000 0.0000 0.0000
Ge: 0.5000 0.5000 0.5000
Te: 0.3982 0.3982 0.3982
Te: 0.6018 0.6018 0.6018

Properties
**Total energy**: -39.992 eV per atom
**Space group**: R-3m, No. 166

---

Entry 6:
TiHgGe3: PBEsol geometry, meta-GGA SCAN.

Unit cell a=5.0467 b=5.0467 c=5.0467 alpha=90.00 beta=90.00 gamma=90.00
Fractional coordinates of all 5 atoms:
Ti: 0.0000 0.0000 0.0000
Hg: 0.5000 0.5000 0.5000
Ge: 0.0000 0.5000 0.5000
Ge: 0.5000 0.0000 0.5000
Ge: 0.5000 0.5000 0.0000

Properties
**E_form**: 1.087 eV/atom
**Space group**: Pm-3m, No. 221

---

Entry 7:
HgGe3W: PBEsol geometry, meta-GGA SCAN.

Unit cell a=4.8833 b=4.8833 c=4.8833 alpha=90.00 beta=90.00 gamma=90.00
Fractional coordinates of all 5 atoms:
Hg: 0.0000 0.0000 0.0000
Ge: 0.0000 0.5000 0.5000
Ge: 0.5000 0.0000 0.5000
Ge: 0.5000 0.5000 0.0000
W: 0.5000 0.5000 0.5000

Properties
**E_form**: 0.405 eV/atom
**Space group**: Pm-3m, No. 221

---

Entry 8:
Zn2Hg2Ge: PBEsol geometry, meta-GGA SCAN.

Unit cell a=7.6225 b=7.6225 c=7.6225 alpha=152.11 beta=152.11 gamma=39.85
Fractional coordinates of all 5 atoms:
Zn: 0.2500 0.7500 0.5000
Zn: 0.7500 0.2500 0.5000
Hg: 0.1049 0.1049 0.0000
Hg: 0.8951 0.8951 0.0000
Ge: 0.5000 0.5000 0.0000

Properties
**E_form**: 0.259 eV/atom
**Space group**: I4/mmm, No. 139

---

Entry 9:
ZnHgGe3: PBEsol geometry, meta-GGA SCAN.

Unit cell a=4.7940 b=4.7940 c=4.7940 alpha=90.00 beta=90.00 gamma=90.00
Fractional coordinates of all 5 atoms:
Zn: 0.0000 0.0000 0.0000
Hg: 0.5000 0.5000 0.5000
Ge: 0.0000 0.0000 0.5000
Ge: 0.0000 0.5000 0.0000
Ge: 0.5000 0.0000 0.0000

Properties
**E_form**: 0.616 eV/atom
**Space group**: Pm-3m, No. 221

---

Entry 10:
Zr2HgGe2: PBEsol geometry, meta-GGA SCAN.

Unit cell a=8.1503 b=8.1503 c=8.1503 alpha=154.54 beta=154.54 gamma=36.31
Fractional coordinates of all 5 atoms:
Zr: 0.1088 0.1088 0.0000
Zr: 0.8912 0.8912 0.0000
Hg: 0.5000 0.5000 0.0000
Ge: 0.2500 0.7500 0.5000
Ge: 0.7500 0.2500 0.5000

Properties
**E_form**: -0.375 eV/atom
**Space group**: I4/mmm, No. 139

---

Entry 11:
HoGe: PBEsol geometry, meta-GGA SCAN.

Unit cell a=5.6702 b=5.6702 c=3.8818 alpha=90.00 beta=90.00 gamma=136.47
Fractional coordinates of all 4 atoms:
Ho: 0.1386 0.8614 0.7500
Ho: 0.8614 0.1386 0.2500
Ge: 0.4148 0.5852 0.7500
Ge: 0.5852 0.4148 0.2500

Properties
**E_form**: -0.950 eV/atom
**Space group**: Cmcm, No. 63

---

Entry 12:
Ho5Ge3: PBEsol geometry, meta-GGA SCAN.

Unit cell a=8.3496 b=8.3496 c=6.2643 alpha=90.00 beta=90.00 gamma=120.00
Fractional coordinates of all 16 atoms:
Ho: 0.0000 0.2414 0.2500
Ho: 0.0000 0.7586 0.7500
Ho: 0.2414 0.0000 0.2500
Ho: 0.2414 0.2414 0.7500
Ho: 0.3333 0.6667 0.0000
Ho: 0.3333 0.6667 0.5000
Ho: 0.6667 0.3333 0.0000
Ho: 0.6667 0.3333 0.5000
Ho: 0.7586 0.0000 0.7500
Ho: 0.7586 0.7586 0.2500
Ge: 0.0000 0.3945 0.7500
Ge: 0.0000 0.6055 0.2500
Ge: 0.3945 0.0000 0.7500
Ge: 0.3945 0.3945 0.2500
Ge: 0.6055 0.0000 0.2500
Ge: 0.6055 0.6055 0.7500

Properties
**E_form**: -0.871 eV/atom
**Space group**: P6_3/mcm, No. 193

---

Entry 13:
Ho5Ge4: PBEsol geometry, meta-GGA SCAN.

Unit cell a=7.4939 b=14.4025 c=7.5836 alpha=90.00 beta=90.00 gamma=90.00
Fractional coordinates of all 36 atoms:
Ho: 0.0222 0.1001 0.1781
Ho: 0.0222 0.3999 0.1781
Ho: 0.1257 0.6181 0.3384
Ho: 0.1257 0.8819 0.3384
Ho: 0.2090 0.2500 0.5013
Ho: 0.2910 0.7500 0.0013
Ho: 0.3743 0.1181 0.8384
Ho: 0.3743 0.3819 0.8384
Ho: 0.4778 0.6001 0.6781
Ho: 0.4778 0.8999 0.6781
Ho: 0.5222 0.1001 0.3219
Ho: 0.5222 0.3999 0.3219
Ho: 0.6257 0.6181 0.1616
Ho: 0.6257 0.8819 0.1616
Ho: 0.7090 0.2500 0.9987
Ho: 0.7910 0.7500 0.4987
Ho: 0.8743 0.1181 0.6616
Ho: 0.8743 0.3819 0.6616
Ho: 0.9778 0.6001 0.8219
Ho: 0.9778 0.8999 0.8219
Ge: 0.0772 0.2500 0.8836
Ge: 0.1719 0.7500 0.6381
Ge: 0.2151 0.0433 0.5349
Ge: 0.2151 0.4567 0.5349
Ge: 0.2849 0.5433 0.0349
Ge: 0.2849 0.9567 0.0349
Ge: 0.3281 0.2500 0.1381
Ge: 0.4228 0.7500 0.3836
Ge: 0.5772 0.2500 0.6164
Ge: 0.6719 0.7500 0.8619
Ge: 0.7151 0.0433 0.9651
Ge: 0.7151 0.4567 0.9651
Ge: 0.7849 0.5433 0.4651
Ge: 0.7849 0.9567 0.4651
Ge: 0.8281 0.2500 0.3619
Ge: 0.9228 0.7500 0.1164

Properties
**E_form**: -0.934 eV/atom
**Space group**: Pnma, No. 62

---

Entry 14:
Ho3Ge5: PBEsol geometry, meta-GGA SCAN.

Unit cell a=10.8624 b=7.3289 c=8.9590 alpha=83.01 beta=42.04 gamma=54.95
Fractional coordinates of all 16 atoms:
Ho: 0.0000 0.0000 0.0000
Ho: 0.2500 0.2500 0.2500
Ho: 0.3538 0.6610 0.3094
Ho: 0.5742 0.9406 0.5890
Ho: 0.6610 0.3538 0.6758
Ho: 0.9406 0.5742 0.8962
Ge: 0.0263 0.7800 0.3448
Ge: 0.1745 0.4998 0.9990
Ge: 0.2510 0.9234 0.0755
Ge: 0.4010 0.9052 0.4700
Ge: 0.4515 0.4515 0.5485
Ge: 0.4998 0.1745 0.3266
Ge: 0.7015 0.7015 0.7985
Ge: 0.7800 0.0263 0.8490
Ge: 0.9052 0.4010 0.2237
Ge: 0.9234 0.2510 0.7502

Properties
**E_form**: -0.776 eV/atom
**Space group**: Fdd2, No. 43

---

Entry 15:
Ho3Ge4: PBEsol geometry, meta-GGA SCAN.

Unit cell a=5.6199 b=5.6199 c=14.0295 alpha=90.00 beta=90.00 gamma=138.55
Fractional coordinates of all 14 atoms:
Ho: 0.0434 0.9566 0.7500
Ho: 0.3291 0.6709 0.5971
Ho: 0.3291 0.6709 0.9029
Ho: 0.6709 0.3291 0.0971
Ho: 0.6709 0.3291 0.4029
Ho: 0.9566 0.0434 0.2500
Ge: 0.0000 0.0000 0.0000
Ge: 0.0000 0.0000 0.5000
Ge: 0.2273 0.7727 0.2500
Ge: 0.3817 0.6183 0.1082
Ge: 0.3817 0.6183 0.3918
Ge: 0.6183 0.3817 0.6082
Ge: 0.6183 0.3817 0.8918
Ge: 0.7727 0.2273 0.7500

Properties
**E_form**: -0.863 eV/atom
**Space group**: Cmcm, No. 63

---

Entry 16:
Ho11In6Ge4: PBEsol geometry, meta-GGA SCAN.

Unit cell a=11.2834 b=11.2834 c=11.2834 alpha=119.92 beta=119.92 gamma=90.14
Fractional coordinates of all 42 atoms:
Ho: 0.0644 0.3141 0.7503
Ho: 0.1012 0.4467 0.3455
Ho: 0.1012 0.7556 0.6545
Ho: 0.1674 0.1674 0.0000
Ho: 0.2444 0.8988 0.3455
Ho: 0.3141 0.0644 0.7503
Ho: 0.3141 0.5638 0.2497
Ho: 0.3320 0.3320 0.6639
Ho: 0.3320 0.6680 0.0000
Ho: 0.4362 0.6859 0.7503
Ho: 0.4467 0.1012 0.3455
Ho: 0.5533 0.8988 0.6545
Ho: 0.5638 0.3141 0.2497
Ho: 0.6680 0.3320 0.0000
Ho: 0.6680 0.6680 0.3361
Ho: 0.6859 0.4362 0.7503
Ho: 0.6859 0.9356 0.2497
Ho: 0.7556 0.1012 0.6545
Ho: 0.8326 0.8326 0.0000
Ho: 0.8988 0.2444 0.3455
Ho: 0.8988 0.5533 0.6545
Ho: 0.9356 0.6859 0.2497
In: 0.0356 0.0356 0.4129
In: 0.0356 0.6227 0.0000
In: 0.1288 0.1288 0.2576
In: 0.1288 0.8712 0.0000
In: 0.3773 0.3773 0.4129
In: 0.3773 0.9644 0.0000
In: 0.6227 0.0356 0.0000
In: 0.6227 0.6227 0.5871
In: 0.8712 0.1288 0.0000
In: 0.8712 0.8712 0.7424
In: 0.9644 0.3773 0.0000
In: 0.9644 0.9644 0.5871
Ge: 0.1529 0.5000 0.6529
Ge: 0.2500 0.7500 0.5000
Ge: 0.3815 0.3815 0.0000
Ge: 0.5000 0.1529 0.6529
Ge: 0.5000 0.8471 0.3471
Ge: 0.6185 0.6185 0.0000
Ge: 0.7500 0.2500 0.5000
Ge: 0.8471 0.5000 0.3471

Properties
**E_form**: -0.777 eV/atom
**Space group**: I4/mmm, No. 139

---

Entry 17:
Ho4Ge6Ir7: PBEsol geometry, meta-GGA SCAN.

Unit cell a=7.1684 b=7.1684 c=7.1684 alpha=109.47 beta=109.47 gamma=109.47
Fractional coordinates of all 17 atoms:
Ho: 0.0000 0.0000 0.5000
Ho: 0.0000 0.5000 0.0000
Ho: 0.5000 0.0000 0.0000
Ho: 0.5000 0.5000 0.5000
Ge: 0.0000 0.3166 0.3166
Ge: 0.0000 0.6834 0.6834
Ge: 0.3166 0.0000 0.3166
Ge: 0.3166 0.3166 0.0000
Ge: 0.6834 0.0000 0.6834
Ge: 0.6834 0.6834 0.0000
Ir: 0.0000 0.0000 0.0000
Ir: 0.2500 0.5000 0.7500
Ir: 0.2500 0.7500 0.5000
Ir: 0.5000 0.2500 0.7500
Ir: 0.5000 0.7500 0.2500
Ir: 0.7500 0.2500 0.5000
Ir: 0.7500 0.5000 0.2500

Properties
**E_form**: -1.048 eV/atom
**Space group**: Im-3m, No. 229

---

Entry 18:
HoGe2Ir: PBEsol geometry, meta-GGA SCAN.

Unit cell a=9.3211 b=9.3211 c=9.3211 alpha=153.86 beta=123.74 gamma=63.05
Fractional coordinates of all 16 atoms:
Ho: 0.2052 0.2052 0.0000
Ho: 0.2380 0.0000 0.2380
Ho: 0.7620 0.0000 0.7620
Ho: 0.7948 0.7948 0.0000
Ge: 0.0767 0.5767 0.5000
Ge: 0.1466 0.7990 0.3476
Ge: 0.4219 0.4219 0.0000
Ge: 0.4514 0.7990 0.6524
Ge: 0.5486 0.2010 0.3476
Ge: 0.5781 0.5781 0.0000
Ge: 0.8534 0.2010 0.6524
Ge: 0.9233 0.4233 0.5000
Ir: 0.1051 0.3550 0.7501
Ir: 0.3952 0.6450 0.7501
Ir: 0.6048 0.3550 0.2499
Ir: 0.8949 0.6450 0.2499

Properties
**E_form**: -0.960 eV/atom
**Space group**: Immm, No. 71

---

Entry 19:
HoMn2Ge2: PBEsol geometry, meta-GGA SCAN.

Unit cell a=5.9720 b=5.9720 c=5.9720 alpha=142.24 beta=142.24 gamma=54.47
Fractional coordinates of all 5 atoms:
Ho: 0.0000 0.0000 0.0000
Mn: 0.2500 0.7500 0.5000
Mn: 0.7500 0.2500 0.5000
Ge: 0.3812 0.3812 0.0000
Ge: 0.6188 0.6188 0.0000

Properties
**E_form**: -0.633 eV/atom
**Space group**: I4/mmm, No. 139

---

Entry 20:
Ho2Nb3Ge4: PBEsol geometry, meta-GGA SCAN.

Unit cell a=6.9199 b=13.4014 c=7.0956 alpha=90.00 beta=90.00 gamma=90.00
Fractional coordinates of all 36 atoms:
Ho: 0.0031 0.0949 0.1739
Ho: 0.0031 0.4051 0.1739
Ho: 0.4969 0.5949 0.6739
Ho: 0.4969 0.9051 0.6739
Ho: 0.5031 0.0949 0.3261
Ho: 0.5031 0.4051 0.3261
Ho: 0.9969 0.5949 0.8261
Ho: 0.9969 0.9051 0.8261
Nb: 0.1595 0.6266 0.3287
Nb: 0.1595 0.8734 0.3287
Nb: 0.1648 0.2500 0.5116
Nb: 0.3352 0.7500 0.0116
Nb: 0.3405 0.1266 0.8287
Nb: 0.3405 0.3734 0.8287
Nb: 0.6595 0.6266 0.1713
Nb: 0.6595 0.8734 0.1713
Nb: 0.6648 0.2500 0.9884
Nb: 0.8352 0.7500 0.4884
Nb: 0.8405 0.1266 0.6713
Nb: 0.8405 0.3734 0.6713
Ge: 0.0398 0.2500 0.8805
Ge: 0.1747 0.0414 0.5381
Ge: 0.1747 0.4586 0.5381
Ge: 0.1951 0.7500 0.6394
Ge: 0.3049 0.2500 0.1394
Ge: 0.3253 0.5414 0.0381
Ge: 0.3253 0.9586 0.0381
Ge: 0.4602 0.7500 0.3805
Ge: 0.5398 0.2500 0.6195
Ge: 0.6747 0.0414 0.9619
Ge: 0.6747 0.4586 0.9619
Ge: 0.6951 0.7500 0.8606
Ge: 0.8049 0.2500 0.3606
Ge: 0.8253 0.5414 0.4619
Ge: 0.8253 0.9586 0.4619
Ge: 0.9602 0.7500 0.1195

Properties
**E_form**: -0.850 eV/atom
**Space group**: Pnma, No. 62